Here is an optimized crystal structure of KSO from Alexandria. Energies are from PBE.

```
KSO
1.0
4.777 0.000 0.000
-0.070 5.314 0.000
-0.100 -0.867 5.258
K S O
2 2 2
direct
0.002 0.233 0.267 K
0.998 0.767 0.733 K
0.495 0.664 0.164 S
0.505 0.336 0.836 S
0.179 0.271 0.771 O
0.821 0.729 0.229 O
```

As for the uncorrected formation energy: -1030.2 meV per atom. The calculation puts the total energy at -4.425 eV/atom. The calculation puts the volume at 22.2 Å³/atom.